Entry from Alexandria via LeMat-Bulk: a relaxed structure of Pr3Nd4Sc2 (PBE).

Properties
Energy above the lowest structure with this stoichiometry (eV per atom): 0.000
Calculated volume (Å³/atom): 33.78

Unit cell a=12.780 b=3.667 c=14.272 alpha=90.00 beta=114.61 gamma=90.00
Space group C2/m (No. 12)
Symmetry-distinct sites (fractional):
Pr 0.000 0.000 0.000 (multiplicity 2)
Pr 0.016 0.000 0.390 (multiplicity 4)
Nd 0.217 0.000 0.871 (multiplicity 4)
Nd 0.227 0.500 0.628 (multiplicity 4)
Sc 0.046 0.500 0.205 (multiplicity 4)


Entry from Alexandria via LeMat-Bulk: a relaxed structure of Pr5Nd4Sc2 (PBE).

Properties
Energy above the lowest structure with this stoichiometry (eV per atom): 0.000
Calculated volume (Å³/atom): 34.19

Unit cell a=24.160 b=3.563 c=8.765 alpha=90.00 beta=94.45 gamma=90.00
Space group C2/m (No. 12)
Symmetry-distinct sites (fractional):
Pr 0.000 0.000 0.000 (multiplicity 2)
Pr 0.130 0.500 0.039 (multiplicity 4)
Pr 0.180 0.500 0.478 (multiplicity 4)
Nd 0.038 0.500 0.350 (multiplicity 4)
Nd 0.226 0.000 0.824 (multiplicity 4)
Sc 0.087 0.000 0.696 (multiplicity 4)


Entry from Alexandria via LeMat-Bulk: a relaxed structure of PrNd4Sc2 (PBE).

Properties
Energy above the lowest structure with this stoichiometry (eV per atom): 0.043
Calculated volume (Å³/atom): 33.19

Unit cell a=3.559 b=15.693 c=16.661 alpha=90.00 beta=93.06 gamma=90.00
Space group C2/c (No. 15)
Symmetry-distinct sites (fractional):
Pr 0.000 0.193 0.250 (multiplicity 4)
Nd 0.061 0.323 0.075 (multiplicity 8)
Nd 0.128 0.052 0.420 (multiplicity 8)
Sc 0.000 0.132 0.750 (multiplicity 4)
Sc 0.000 0.482 0.750 (multiplicity 4)


Entry from Alexandria via LeMat-Bulk: a relaxed structure of PrNd4Sc3 (PBE).

Properties
Calculated volume (Å³/atom): 34.07
VASP energy (eV for the cell shown): -81.30

Unit cell a=27.332 b=3.472 c=5.758 alpha=90.00 beta=93.95 gamma=90.00
Space group C2/m (No. 12)
Symmetry-distinct sites (fractional):
Pr 0.000 0.000 0.000 (multiplicity 2)
Nd 0.101 0.000 0.533 (multiplicity 4)
Nd 0.189 0.000 0.063 (multiplicity 4)
Sc 0.000 0.500 0.500 (multiplicity 2)
Sc 0.206 0.500 0.573 (multiplicity 4)


Entry from Alexandria via LeMat-Bulk: a relaxed structure of Pr6NdSc (PBE).

Properties
Energy above the lowest structure with this stoichiometry (eV per atom): 0.321
Calculated volume (Å³/atom): 37.62

Unit cell a=9.142 b=7.288 c=9.389 alpha=90.00 beta=105.81 gamma=90.00
Space group C2/m (No. 12)
Symmetry-distinct sites (fractional):
Pr 0.135 0.000 0.426 (multiplicity 4)
Pr 0.204 0.242 0.794 (multiplicity 8)
Nd 0.000 0.000 0.000 (multiplicity 2)
Sc 0.000 0.500 0.500 (multiplicity 2)


Entry from Alexandria via LeMat-Bulk: a relaxed structure of Pr6NdSc2 (PBE).

Properties
Calculated volume (Å³/atom): 33.40
VASP energy (eV for the cell shown): -91.36

Unit cell a=18.424 b=3.685 c=8.889 alpha=90.00 beta=95.00 gamma=90.00
Space group C2/m (No. 12)
Symmetry-distinct sites (fractional):
Pr 0.091 0.000 0.137 (multiplicity 4)
Pr 0.163 0.500 0.483 (multiplicity 4)
Pr 0.226 0.000 0.830 (multiplicity 4)
Nd 0.000 0.000 0.500 (multiplicity 2)
Sc 0.066 0.500 0.806 (multiplicity 4)


Entry from Alexandria via LeMat-Bulk: a relaxed structure of Pr4Nd5Sc (PBE).

Properties
Energy above the lowest structure with this stoichiometry (eV per atom): 0.070
Calculated volume (Å³/atom): 34.71

Unit cell a=18.109 b=3.557 c=11.309 alpha=90.00 beta=107.62 gamma=90.00
Space group C2/m (No. 12)
Symmetry-distinct sites (fractional):
Pr 0.089 0.000 0.308 (multiplicity 4)
Pr 0.195 0.500 0.584 (multiplicity 4)
Nd 0.000 0.500 0.000 (multiplicity 2)
Nd 0.105 0.000 0.784 (multiplicity 4)
Nd 0.206 0.000 0.098 (multiplicity 4)
Sc 0.000 0.500 0.500 (multiplicity 2)


Entry from Alexandria via LeMat-Bulk: a relaxed structure of Pr3Nd2Sc2 (PBE).

Properties
Calculated volume (Å³/atom): 32.72
VASP energy (eV for the cell shown): -72.46

Unit cell a=16.749 b=3.560 c=8.743 alpha=90.00 beta=118.48 gamma=90.00
Space group C2/m (No. 12)
Symmetry-distinct sites (fractional):
Pr 0.000 0.000 0.000 (multiplicity 2)
Pr 0.204 0.500 0.295 (multiplicity 4)
Nd 0.131 0.500 0.816 (multiplicity 4)
Sc 0.070 0.000 0.432 (multiplicity 4)